Record 1
Density functional theory data (PBE) for a relaxed LuScIn crystal.

Lattice parameters (Å, degrees): 5.1310 5.1310 6.4639 90.00 90.00 120.00
Sites, in units of the cell vectors:
Lu  0.0000  0.0000  0.0000
Lu  0.0000  0.0000  0.5000
Sc  0.3333  0.6667  0.2500
Sc  0.6667  0.3333  0.7500
In  0.3333  0.6667  0.7500
In  0.6667  0.3333  0.2500

space-group type	No. 194
calculated total energy	-4.89	eV per atom
crystal system	hexagonal

Record 2
Density functional theory data (PBE) for a relaxed LuScIn crystal.

Lattice parameters (Å, degrees): 5.1755 5.1755 6.3922 90.00 90.00 120.00
Sites, in units of the cell vectors:
Lu  0.3333  0.6667  0.2500
Lu  0.6667  0.3333  0.7500
Sc  0.0000  0.0000  0.0000
Sc  0.0000  0.0000  0.5000
In  0.3333  0.6667  0.7500
In  0.6667  0.3333  0.2500

space-group type	No. 194
calculated total energy	-4.86	eV per atom
crystal system	hexagonal

One value per record, in order, for relative energy among the computed polymorphs: 0.000; 0.027 eV per atom.